# 1
The following is a DFT calculation (SCAN) of TiFe3P6O24 at its PBEsol-relaxed geometry.

Structure (CIF):
```
data_TiFe3P6O24
_chemical_formula_sum 'Ti3 Fe9 P18 O72'
_symmetry_space_group_name_H-M 'R 3'
_symmetry_Int_Tables_number 146
_symmetry_space_group_name_Hall 'R 3'
_cell_length_a 8.0711
_cell_length_b 8.0711
_cell_length_c 21.5379
_cell_angle_alpha 90.00
_cell_angle_beta 90.00
_cell_angle_gamma 120.00
loop_
_atom_site_label
_atom_site_type_symbol
_atom_site_fract_x
_atom_site_fract_y
_atom_site_fract_z
Ti1 Ti 0.0000 0.0000 0.0000
Fe1 Fe 0.0000 0.0000 0.2789
Fe2 Fe 0.0000 0.0000 0.4890
Fe3 Fe 0.0000 0.0000 0.7874
P1 P 0.0038 0.2874 0.8864
P2 P 0.0104 0.7254 0.3896
O1 O 0.0209 0.8215 0.3264
O2 O 0.0268 0.1895 0.2244
O3 O 0.0828 0.2180 0.5374
O4 O 0.0926 0.2169 0.8353
O5 O 0.1447 0.4688 0.6143
O6 O 0.1554 0.6946 0.7175
O7 O 0.2057 0.7507 0.1071
O8 O 0.2148 0.7684 0.4044
```

Properties
* crystal system: trigonal
* raw formation energy: -203 kJ/mol of atoms

# 2
The following is a DFT calculation (SCAN) of CaAu3 at its PBEsol-relaxed geometry.

Structure (CIF):
```
data_CaAu3
_chemical_formula_sum 'Ca4 Au12'
_symmetry_space_group_name_H-M 'P n m a'
_symmetry_Int_Tables_number 62
_symmetry_space_group_name_Hall '-P 2ac 2n'
_cell_length_a 7.8117
_cell_length_b 7.8197
_cell_length_c 5.4067
_cell_angle_alpha 90.00
_cell_angle_beta 90.00
_cell_angle_gamma 90.00
loop_
_atom_site_label
_atom_site_type_symbol
_atom_site_fract_x
_atom_site_fract_y
_atom_site_fract_z
Ca1 Ca 0.0387 0.2500 0.1166
Au1 Au 0.1108 0.7500 0.3771
Au2 Au 0.1860 0.0554 0.5837
```

Properties
* energy relative to the elements: -654.7 meV per atom
* crystal system: orthorhombic

# 3
The following is a DFT calculation (SCAN) of Sr2LaAu at its PBEsol-relaxed geometry.

Structure (CIF):
```
data_Sr2LaAu
_chemical_formula_sum 'Sr2 La1 Au1'
_symmetry_space_group_name_H-M 'P 4 m m'
_symmetry_Int_Tables_number 99
_symmetry_space_group_name_Hall 'P 4 -2'
_cell_length_a 3.8275
_cell_length_b 3.8275
_cell_length_c 10.0137
_cell_angle_alpha 90.00
_cell_angle_beta 90.00
_cell_angle_gamma 90.00
loop_
_atom_site_label
_atom_site_type_symbol
_atom_site_fract_x
_atom_site_fract_y
_atom_site_fract_z
Sr1 Sr 0.0000 0.0000 0.0000
Sr2 Sr 0.5000 0.5000 0.3384
La1 La 0.5000 0.5000 0.6896
Au1 Au 0.0000 0.0000 0.5370
```

Properties
* energy relative to the elements: -468.6 meV per atom
* crystal system: tetragonal
* energy relative to the lowest polymorph listed for this composition: 0 meV/atom

# 4
The following is a DFT calculation (SCAN) of MgCr2Ag at its PBEsol-relaxed geometry.

Structure (CIF):
```
data_MgCr2Ag
_chemical_formula_sum 'Mg2 Cr4 Ag2'
_symmetry_space_group_name_H-M 'C m m m'
_symmetry_Int_Tables_number 65
_symmetry_space_group_name_Hall '-C 2 2'
_cell_length_a 4.9306
_cell_length_b 8.8466
_cell_length_c 2.5677
_cell_angle_alpha 90.00
_cell_angle_beta 90.00
_cell_angle_gamma 90.00
loop_
_atom_site_label
_atom_site_type_symbol
_atom_site_fract_x
_atom_site_fract_y
_atom_site_fract_z
Mg1 Mg 0.0000 0.0000 0.0000
Cr1 Cr 0.2500 0.2500 0.5000
Ag1 Ag 0.0000 0.5000 0.0000
```

Properties
* energy relative to the elements: 664.8 meV per atom
* crystal system: orthorhombic

# 5
The following is a DFT calculation (SCAN) of Si2Te3 at its PBEsol-relaxed geometry.

Structure (CIF):
```
data_Si2Te3
_chemical_formula_sum 'Si2 Te3'
_symmetry_space_group_name_H-M 'P -3 m 1'
_symmetry_Int_Tables_number 164
_symmetry_space_group_name_Hall '-P 3 2"'
_cell_length_a 3.8740
_cell_length_b 3.8740
_cell_length_c 9.6704
_cell_angle_alpha 90.00
_cell_angle_beta 90.00
_cell_angle_gamma 120.00
loop_
_atom_site_label
_atom_site_type_symbol
_atom_site_fract_x
_atom_site_fract_y
_atom_site_fract_z
Si1 Si 0.3333 0.6667 0.3191
Te1 Te 0.0000 0.0000 0.5000
Te2 Te 0.3333 0.6667 0.8378
```

Properties
* crystal system: trigonal
* raw formation energy: 11 kJ/mol of atoms

# 6
The following is a DFT calculation (SCAN) of NaCaCl2 at its PBEsol-relaxed geometry.

Structure (CIF):
```
data_NaCaCl2
_chemical_formula_sum 'Na3 Ca3 Cl6'
_symmetry_space_group_name_H-M 'R -3 m'
_symmetry_Int_Tables_number 166
_symmetry_space_group_name_Hall '-R 3 2"'
_cell_length_a 4.0142
_cell_length_b 4.0142
_cell_length_c 29.4024
_cell_angle_alpha 90.00
_cell_angle_beta 90.00
_cell_angle_gamma 120.00
loop_
_atom_site_label
_atom_site_type_symbol
_atom_site_fract_x
_atom_site_fract_y
_atom_site_fract_z
Na1 Na 0.0000 0.0000 0.0000
Ca1 Ca 0.0000 0.0000 0.5000
Cl1 Cl 0.0000 0.0000 0.1183
```

Properties
* crystal system: trigonal
* raw formation energy: -182 kJ/mol of atoms

# 7
The following is a DFT calculation (SCAN) of TaIn2Sb at its PBEsol-relaxed geometry.

Structure (CIF):
```
data_TaIn2Sb
_chemical_formula_sum 'Ta2 In4 Sb2'
_symmetry_space_group_name_H-M 'C m m m'
_symmetry_Int_Tables_number 65
_symmetry_space_group_name_Hall '-C 2 2'
_cell_length_a 3.9205
_cell_length_b 4.7614
_cell_length_c 9.3514
_cell_angle_alpha 90.00
_cell_angle_beta 90.00
_cell_angle_gamma 90.00
loop_
_atom_site_label
_atom_site_type_symbol
_atom_site_fract_x
_atom_site_fract_y
_atom_site_fract_z
Ta1 Ta 0.0000 0.0000 0.0000
In1 In 0.0000 0.5000 0.2264
Sb1 Sb 0.0000 0.0000 0.5000
```

Properties
* crystal system: orthorhombic
* raw formation energy: 28 kJ/mol of atoms

# 8
The following is a DFT calculation (SCAN) of Sc2CrP at its PBEsol-relaxed geometry.

Structure (CIF):
```
data_Sc2CrP
_chemical_formula_sum 'Sc2 Cr1 P1'
_symmetry_space_group_name_H-M 'P 4 m m'
_symmetry_Int_Tables_number 99
_symmetry_space_group_name_Hall 'P 4 -2'
_cell_length_a 3.6182
_cell_length_b 3.6182
_cell_length_c 5.4436
_cell_angle_alpha 90.00
_cell_angle_beta 90.00
_cell_angle_gamma 90.00
loop_
_atom_site_label
_atom_site_type_symbol
_atom_site_fract_x
_atom_site_fract_y
_atom_site_fract_z
Sc1 Sc 0.0000 0.0000 0.0000
Sc2 Sc 0.5000 0.5000 0.3206
Cr1 Cr 0.0000 0.0000 0.5230
P1 P 0.5000 0.5000 0.8207
```

Properties
* energy relative to the elements: -410.1 meV per atom
* crystal system: tetragonal

# 9
The following is a DFT calculation (SCAN) of SrLaTe2 at its PBEsol-relaxed geometry.

Structure (CIF):
```
data_SrLaTe2
_chemical_formula_sum 'Sr3 La3 Te6'
_symmetry_space_group_name_H-M 'R -3 m'
_symmetry_Int_Tables_number 166
_symmetry_space_group_name_Hall '-R 3 2"'
_cell_length_a 4.5465
_cell_length_b 4.5465
_cell_length_c 22.7540
_cell_angle_alpha 90.00
_cell_angle_beta 90.00
_cell_angle_gamma 120.00
loop_
_atom_site_label
_atom_site_type_symbol
_atom_site_fract_x
_atom_site_fract_y
_atom_site_fract_z
Sr1 Sr 0.0000 0.0000 0.0000
La1 La 0.0000 0.0000 0.5000
Te1 Te 0.0000 0.0000 0.2485
```

Properties
* crystal system: trigonal
* energy relative to the lowest polymorph listed for this composition: 7 meV/atom
* raw formation energy: -174 kJ/mol of atoms

# 10
The following is a DFT calculation (SCAN) of TaBe2W at its PBEsol-relaxed geometry.

Structure (CIF):
```
data_TaBe2W
_chemical_formula_sum 'Ta2 Be4 W2'
_symmetry_space_group_name_H-M 'A m m 2'
_symmetry_Int_Tables_number 38
_symmetry_space_group_name_Hall 'A 2 -2'
_cell_length_a 3.3073
_cell_length_b 3.2580
_cell_length_c 8.9288
_cell_angle_alpha 90.00
_cell_angle_beta 90.00
_cell_angle_gamma 90.00
loop_
_atom_site_label
_atom_site_type_symbol
_atom_site_fract_x
_atom_site_fract_y
_atom_site_fract_z
Ta1 Ta 0.0000 0.0000 0.0000
Be1 Be 0.0000 0.0000 0.7222
Be2 Be 0.5000 0.0000 0.5889
W1 W 0.5000 0.0000 0.3030
```

Properties
* energy relative to the elements: -174.9 meV per atom
* crystal system: orthorhombic
* energy relative to the lowest polymorph listed for this composition: 0 meV/atom

# 11
The following is a DFT calculation (SCAN) of LiZn2Ag at its PBEsol-relaxed geometry.

Structure (CIF):
```
data_LiZn2Ag
_chemical_formula_sum 'Li2 Zn4 Ag2'
_symmetry_space_group_name_H-M 'C 1 2/m 1'
_symmetry_Int_Tables_number 12
_symmetry_space_group_name_Hall '-C 2y'
_cell_length_a 5.2578
_cell_length_b 8.6917
_cell_length_c 2.6909
_cell_angle_alpha 90.00
_cell_angle_beta 108.19
_cell_angle_gamma 90.00
loop_
_atom_site_label
_atom_site_type_symbol
_atom_site_fract_x
_atom_site_fract_y
_atom_site_fract_z
Li1 Li 0.0000 0.0000 0.0000
Zn1 Zn 0.2500 0.2500 0.5000
Ag1 Ag 0.0000 0.5000 0.0000
```

Properties
* energy relative to the elements: -121.9 meV per atom
* crystal system: monoclinic

# 12
The following is a DFT calculation (SCAN) of Nb3NCl at its PBEsol-relaxed geometry.

Structure (CIF):
```
data_Nb3NCl
_chemical_formula_sum 'Nb3 N1 Cl1'
_symmetry_space_group_name_H-M 'P m -3 m'
_symmetry_Int_Tables_number 221
_symmetry_space_group_name_Hall '-P 4 2 3'
_cell_length_a 4.2640
_cell_length_b 4.2640
_cell_length_c 4.2640
_cell_angle_alpha 90.00
_cell_angle_beta 90.00
_cell_angle_gamma 90.00
loop_
_atom_site_label
_atom_site_type_symbol
_atom_site_fract_x
_atom_site_fract_y
_atom_site_fract_z
Nb1 Nb 0.0000 0.0000 0.5000
N1 N 0.0000 0.0000 0.0000
Cl1 Cl 0.5000 0.5000 0.5000
```

Properties
* crystal system: cubic
* raw formation energy: 9 kJ/mol of atoms

Ordered spin magnetization results: 8.0 0.0 0.1 0.0 0.0 0.0 0.0 3.9 0.0 0.0 0.0 0.0; unit μB per formula unit.